(1)
Entry from the Alexandria database: an optimized crystal structure of ReMo2Br (GGA-PBE).

a b c (Å): 3.016 3.016 7.100
angles (deg): 90.00 90.00 90.00
Positions (direct):
1 Re 0.000 0.000 0.000
2 Mo 0.500 0.500 0.237
3 Mo 0.500 0.500 0.763
4 Br 0.000 0.000 0.500

polymorph energy (0 for the lowest one): 0.00 eV per formula unit
Fermi-level density of states: 0.438 states/eV per atom
space group: P4/mmm (123)
total moment: 0.000 μB per cell
total DFT energy (no corrections): -8.540 eV per atom
uncorrected formation energy: 406 meV/atom

=====

(2)
Entry from the Alexandria database: an optimized crystal structure of ReMo2Br (GGA-PBE).

a b c (Å): 2.865 2.865 9.138
angles (deg): 90.00 90.00 113.39
Positions (direct):
1 Re 0.000 0.000 0.000
2 Mo 0.000 0.000 0.459
3 Mo 0.500 0.500 0.223
4 Br 0.500 0.500 0.706

polymorph energy (0 for the lowest one): 1.15 eV per formula unit
Fermi-level density of states: 0.694 states/eV per atom
space group: Cmm2 (35)
total moment: 0.000 μB per cell
total DFT energy (no corrections): -8.253 eV per atom
uncorrected formation energy: 693 meV/atom

=====

(3)
Entry from the Alexandria database: an optimized crystal structure of ReMo2Br (GGA-PBE).

a b c (Å): 3.042 3.962 6.670
angles (deg): 90.00 102.31 90.00
Positions (direct):
1 Re 0.000 0.000 0.000
2 Mo 0.386 0.500 0.832
3 Mo 0.840 0.000 0.646
4 Br 0.180 0.500 0.416

polymorph energy (0 for the lowest one): 1.07 eV per formula unit
Fermi-level density of states: 0.650 states/eV per atom
space group: Pm (6)
total moment: 0.000 μB per cell
total DFT energy (no corrections): -8.273 eV per atom
uncorrected formation energy: 673 meV/atom

=====

(4)
Entry from the Alexandria database: an optimized crystal structure of ReMoBr4 (GGA-PBE).

a b c (Å): 6.312 6.312 6.312
angles (deg): 60.00 60.00 60.00
Positions (direct):
1 Re 0.000 0.000 0.000
2 Mo 0.250 0.250 0.250
3 Br 0.124 0.625 0.625
4 Br 0.625 0.124 0.625
5 Br 0.625 0.625 0.124
6 Br 0.625 0.625 0.625

Fermi-level density of states: 1.081 states/eV per atom
space group: F-43m (216)
total moment: 9.186 μB per cell
total DFT energy (no corrections): -3.008 eV per atom
uncorrected formation energy: 1987 meV/atom

=====

(5)
Entry from the Alexandria database: an optimized crystal structure of ReMoBr2 (GGA-PBE).

a b c (Å): 3.380 3.380 9.544
angles (deg): 96.90 96.90 59.54
Positions (direct):
1 Re 0.000 0.000 0.000
2 Mo 0.673 0.673 0.166
3 Br 0.199 0.199 0.776
4 Br 0.421 0.421 0.379

polymorph energy (0 for the lowest one): 0.00 eV per formula unit
Fermi-level density of states: 0.012 states/eV per atom
space group: Cm (8)
total moment: 0.000 μB per cell
total DFT energy (no corrections): -6.522 eV per atom
uncorrected formation energy: 135 meV/atom

=====

(6)
Entry from the Alexandria database: an optimized crystal structure of ReMoBr2 (GGA-PBE).

a b c (Å): 7.701 7.701 4.141
angles (deg): 94.00 94.00 23.66
Positions (direct):
1 Re 0.000 0.000 0.000
2 Mo 0.500 0.500 0.500
3 Br 0.148 0.148 0.736
4 Br 0.852 0.852 0.264

polymorph energy (0 for the lowest one): 1.47 eV per formula unit
Fermi-level density of states: 0.519 states/eV per atom
space group: C2/m (12)
total moment: 0.000 μB per cell
total DFT energy (no corrections): -6.153 eV per atom
uncorrected formation energy: 503 meV/atom